1.
Below is a relaxed K4La3HfS8 crystal, with properties calculated at the PBE level.

a = 8.2954 Å, b = 8.2954 Å, c = 22.1727 Å
α = 90.00°, β = 90.00°, γ = 120.00°
Space group R-3m (No. 166, hexagonal axes)
One atom of each set of equivalent atoms:
K (0.0000, 0.0000, 0.0000)
K (0.0000, 0.5000, 0.0000)
La (0.0000, 0.5000, 0.5000)
Hf (0.0000, 0.0000, 0.5000)
S (0.0000, 0.0000, 0.2393)
S (0.0298, 0.5149, 0.2335)

Summary:
ΔE_f (raw)   -1768 meV/atom
Final energy   -5.6524 eV per atom
Total magnetic moment   0.003 Bohr magnetons per cell

---

2.
Below is a relaxed K3La3HfS8 crystal, with properties calculated at the PBE level.

a = 8.3313 Å, b = 8.3313 Å, c = 22.4137 Å
α = 90.00°, β = 90.00°, γ = 120.00°
Space group R-3m (No. 166, hexagonal axes)
One atom of each set of equivalent atoms:
K (0.0000, 0.5000, 0.0000)
La (0.0000, 0.5000, 0.5000)
Hf (0.0000, 0.0000, 0.5000)
S (0.0000, 0.0000, 0.2365)
S (0.0326, 0.5163, 0.2306)

Summary:
ΔE_f (raw)   -1852 meV/atom
Final energy   -5.9217 eV per atom
Total magnetic moment   0.000 Bohr magnetons per cell